1.
Density functional theory data (PBE) for a geometry-optimized Cs2NpI7 structure.

Lattice parameters (Å, degrees): 8.921 12.255 11.065 84.03 66.23 68.66
Site moments in Bohr magnetons follow the coordinates.
Sites, in units of the cell vectors:
Cs  0.606  0.945  0.713  0.00
Cs  0.736  0.445  0.213  0.00
Cs  0.264  0.555  0.787  0.00
Cs  0.394  0.055  0.287  0.00
Np  0.993  0.250  0.750  3.41
Np  0.007  0.750  0.250  3.41
I  0.815  0.505  0.836  -0.07
I  0.844  0.005  0.336  -0.07
I  0.256  0.816  0.982  -0.10
I  0.338  0.279  0.558  -0.06
I  0.636  0.250  0.750  -0.13
I  0.946  0.316  0.482  -0.10
I  0.175  0.221  0.942  -0.06
I  0.825  0.779  0.058  -0.06
I  0.054  0.684  0.518  -0.10
I  0.364  0.750  0.250  -0.13
I  0.662  0.721  0.442  -0.06
I  0.744  0.184  0.018  -0.10
I  0.156  0.995  0.664  -0.07
I  0.185  0.495  0.164  -0.07

Output
- theoretical density (g/cm3) = 4.5
- total DFT energy (no corrections) (eV/atom) = -3.516
- spin magnetization (μB/atom) = 0.2637
- E_form (uncorrected) (eV/atom) = -0.9666
- crystal system = monoclinic
- distance to the lowest polymorph of the same formula (eV per formula unit) = 0.00



2.
Density functional theory data (PBE) for a geometry-optimized YTcN2 structure.

Lattice parameters (Å, degrees): 6.344 6.344 6.344 32.15 32.15 32.15
Sites, in units of the cell vectors:
Y  0.500  0.500  0.500
Tc  0.000  0.000  0.000
N  0.898  0.898  0.898
N  0.102  0.102  0.102

Output
- theoretical density (g/cm3) = 5.6
- total DFT energy (no corrections) (eV/atom) = -8.753
- spin magnetization (μB/atom) = 0.0000
- E_form (uncorrected) (eV/atom) = -0.3824
- crystal system = trigonal
- distance to the lowest polymorph of the same formula (eV per formula unit) = 1.94



3.
Density functional theory data (PBE) for a geometry-optimized FeTe2Ir structure.

Lattice parameters (Å, degrees): 3.960 3.960 7.048 73.71 73.71 60.06
Site moments in Bohr magnetons follow the coordinates.
Sites, in units of the cell vectors:
Fe  0.483  0.483  0.551  2.25
Ir  0.770  0.770  0.692  0.05
Te  0.032  0.032  0.904  -0.03
Te  0.215  0.215  0.353  -0.09

Output
- theoretical density (g/cm3) = 9.2
- total DFT energy (no corrections) (eV/atom) = -5.857
- spin magnetization (μB/atom) = 0.5403
- E_form (uncorrected) (eV/atom) = 0.0445
- crystal system = trigonal
- distance to the lowest polymorph of the same formula (eV per formula unit) = 0.17



4.
Density functional theory data (PBE) for a geometry-optimized NiGeAsSe2 structure.

Lattice parameters (Å, degrees): 4.960 4.960 4.328 90.00 90.00 90.00
Sites, in units of the cell vectors:
Ni  0.000  0.000  0.000
As  0.000  0.000  0.500
Ge  0.500  0.500  0.500
Se  0.000  0.500  0.000
Se  0.500  0.000  0.000

Output
- theoretical density (g/cm3) = 5.7
- total DFT energy (no corrections) (eV/atom) = -4.071
- spin magnetization (μB/atom) = 0.0000
- E_form (uncorrected) (eV/atom) = 0.3323
- crystal system = tetragonal
- distance to the lowest polymorph of the same formula (eV per formula unit) = 0.00